NaGdFeS3 (PBE, relaxed); theoretical density = 3.943 g cm⁻³; energy relative to the lowest polymorph listed for this composition = 0 meV/atom
1.0
7.9081 0.0000 0.0000
0.0000 3.8954 0.0000
-2.0958 0.0000 9.0857
Na Gd Fe S
2 2 2 6
direct
0.2204 0.2500 0.2539
0.7796 0.7500 0.7461
0.3225 0.7500 0.8532
0.6775 0.2500 0.1468
0.0719 0.2500 0.5895
0.9281 0.7500 0.4105
0.0716 0.2500 0.8332
0.2186 0.7500 0.5375
0.4352 0.7500 0.1533
0.5648 0.2500 0.8467
0.7814 0.2500 0.4625
0.9284 0.7500 0.1668